# GGA-PBE Al8ZnTc2, optimized geometry
data_Al8ZnTc2
_space_group_name_H-M_alt 'C 1 2/m 1'
_space_group_IT_number 12
_space_group_name_Hall '-C 2y'
_cell_length_a 13.235
_cell_length_b 5.264
_cell_length_c 5.166
_cell_angle_alpha 90.00
_cell_angle_beta 93.08
_cell_angle_gamma 90.00
loop_
_atom_site_label
_atom_site_type_symbol
_atom_site_fract_x
_atom_site_fract_y
_atom_site_fract_z
_atom_site_occupancy
Al1 Al 0.075 0.000 0.361 1
Al2 Al 0.096 0.250 0.892 1
Al3 Al 0.227 0.500 0.359 1
Zn1 Zn 0.000 0.500 0.500 1
Tc1 Tc 0.238 0.000 0.141 1
# V   179.69 Å³/f.u.
# Crystal system   monoclinic
# DFT formation energy   -1.61 eV per formula unit

# GGA-PBE CsFeS2Cl, optimized geometry
data_CsFeS2Cl
_space_group_name_H-M_alt 'P 4/m m m'
_space_group_IT_number 123
_space_group_name_Hall '-P 4 2'
_cell_length_a 5.430
_cell_length_b 5.430
_cell_length_c 6.132
_cell_angle_alpha 90.00
_cell_angle_beta 90.00
_cell_angle_gamma 90.00
loop_
_atom_site_label
_atom_site_type_symbol
_atom_site_fract_x
_atom_site_fract_y
_atom_site_fract_z
_atom_site_occupancy
Cs1 Cs 0.000 0.000 0.000 1
Fe1 Fe 0.500 0.500 0.500 1
S1 S 0.000 0.500 0.000 1
Cl1 Cl 0.000 0.000 0.500 1
# V   180.82 Å³/f.u.
# Crystal system   tetragonal
# E above lowest polymorph   1.623 eV/atom

# GGA-PBE NaIr3C, optimized geometry
data_NaIr3C
_space_group_name_H-M_alt 'P m -3 m'
_space_group_IT_number 221
_space_group_name_Hall '-P 4 2 3'
_cell_length_a 4.116
_cell_length_b 4.116
_cell_length_c 4.116
_cell_angle_alpha 90.00
_cell_angle_beta 90.00
_cell_angle_gamma 90.00
loop_
_atom_site_label
_atom_site_type_symbol
_atom_site_fract_x
_atom_site_fract_y
_atom_site_fract_z
_atom_site_occupancy
Na1 Na 0.000 0.000 0.000 1
Ir1 Ir 0.000 0.500 0.500 1
C1 C 0.500 0.500 0.500 1
# V   69.74 Å³/f.u.
# Crystal system   cubic
# E above lowest polymorph   0.000 eV/atom
# DFT formation energy   1.93 eV per formula unit

# GGA-PBE VHgSbI6, optimized geometry
data_VHgSbI6
_space_group_name_H-M_alt 'P 3 1 2'
_space_group_IT_number 149
_space_group_name_Hall 'P 3 2'
_cell_length_a 7.4460
_cell_length_b 7.4460
_cell_length_c 9.3497
_cell_angle_alpha 90.00
_cell_angle_beta 90.00
_cell_angle_gamma 120.00
loop_
_atom_site_label
_atom_site_type_symbol
_atom_site_fract_x
_atom_site_fract_y
_atom_site_fract_z
_atom_site_occupancy
V1 V 0.0000 0.0000 0.0000 1
Hg1 Hg 0.6667 0.3333 0.5000 1
Sb1 Sb 0.3333 0.6667 0.0000 1
I1 I 0.0123 0.3077 0.1754 1
# V   448.96 Å³/f.u.
# Raw total energy   -25.9 eV per cell
# Crystal system   trigonal

# GGA-PBE HfGaAg2As, optimized geometry
data_HfGaAg2As
_space_group_name_H-M_alt 'P 4/m m m'
_space_group_IT_number 123
_space_group_name_Hall '-P 4 2'
_cell_length_a 4.854
_cell_length_b 4.854
_cell_length_c 4.852
_cell_angle_alpha 90.00
_cell_angle_beta 90.00
_cell_angle_gamma 90.00
loop_
_atom_site_label
_atom_site_type_symbol
_atom_site_fract_x
_atom_site_fract_y
_atom_site_fract_z
_atom_site_occupancy
Hf1 Hf 0.000 0.000 0.000 1
Ga1 Ga 0.500 0.500 0.000 1
Ag1 Ag 0.000 0.500 0.500 1
As1 As 0.500 0.500 0.500 1
# V   114.34 Å³/f.u.
# Crystal system   tetragonal
# DFT formation energy   3.73 eV per formula unit

# GGA-PBE GeSb3H, optimized geometry
data_GeSb3H
_space_group_name_H-M_alt 'P m -3 m'
_space_group_IT_number 221
_space_group_name_Hall '-P 4 2 3'
_cell_length_a 4.739
_cell_length_b 4.739
_cell_length_c 4.739
_cell_angle_alpha 90.00
_cell_angle_beta 90.00
_cell_angle_gamma 90.00
loop_
_atom_site_label
_atom_site_type_symbol
_atom_site_fract_x
_atom_site_fract_y
_atom_site_fract_z
_atom_site_occupancy
Ge1 Ge 0.000 0.000 0.000 1
Sb1 Sb 0.000 0.500 0.500 1
H1 H 0.500 0.500 0.500 1
# V   106.42 Å³/f.u.
# Crystal system   cubic
# E above lowest polymorph   0.000 eV/atom

# GGA-PBE MgCu4Pd5, optimized geometry
data_MgCu4Pd5
_space_group_name_H-M_alt 'P 4/m m m'
_space_group_IT_number 123
_space_group_name_Hall '-P 4 2'
_cell_length_a 3.063
_cell_length_b 3.063
_cell_length_c 15.097
_cell_angle_alpha 90.00
_cell_angle_beta 90.00
_cell_angle_gamma 90.00
loop_
_atom_site_label
_atom_site_type_symbol
_atom_site_fract_x
_atom_site_fract_y
_atom_site_fract_z
_atom_site_occupancy
Mg1 Mg 0.000 0.000 0.000 1
Cu1 Cu 0.000 0.000 0.208 1
Cu2 Cu 0.000 0.000 0.403 1
Pd1 Pd 0.500 0.500 0.108 1
Pd2 Pd 0.500 0.500 0.304 1
Pd3 Pd 0.500 0.500 0.500 1
# V   141.66 Å³/f.u.
# Crystal system   tetragonal
# DFT formation energy   -2.64 eV per formula unit

# GGA-PBE TcBiAs2Br, optimized geometry
data_TcBiAs2Br
_space_group_name_H-M_alt 'P 4/m m m'
_space_group_IT_number 123
_space_group_name_Hall '-P 4 2'
_cell_length_a 4.781
_cell_length_b 4.781
_cell_length_c 5.407
_cell_angle_alpha 90.00
_cell_angle_beta 90.00
_cell_angle_gamma 90.00
loop_
_atom_site_label
_atom_site_type_symbol
_atom_site_fract_x
_atom_site_fract_y
_atom_site_fract_z
_atom_site_occupancy
Tc1 Tc 0.000 0.000 0.000 1
Bi1 Bi 0.500 0.500 0.500 1
As1 As 0.000 0.500 0.000 1
Br1 Br 0.000 0.000 0.500 1
# V   123.61 Å³/f.u.
# Crystal system   tetragonal
# E above lowest polymorph   0.000 eV/atom